Entry 1:
Density functional theory data (GGA-PBE) for a relaxed structure of LiPrZnTe3.

a = 8.607 Å, b = 4.371 Å, c = 10.630 Å
α = 90.00°, β = 103.41°, γ = 90.00°
Fractional positions:
Li1 0.814 0.750 0.371
Li2 0.186 0.250 0.629
Pr1 0.321 0.750 0.347
Pr2 0.679 0.250 0.653
Te1 0.233 0.750 0.032
Te2 0.585 0.250 0.341
Te3 0.050 0.250 0.347
Te4 0.950 0.750 0.653
Te5 0.415 0.750 0.659
Te6 0.767 0.250 0.968
Zn1 0.083 0.250 0.100
Zn2 0.917 0.750 0.900

Entry 2:
Density functional theory data (GGA-PBE) for a relaxed structure of LiPrZnTe3.

a = 14.870 Å, b = 4.370 Å, c = 12.120 Å
α = 90.00°, β = 90.00°, γ = 90.00°
Fractional positions:
Li1 0.717 0.750 0.190
Li2 0.217 0.750 0.310
Li3 0.783 0.250 0.690
Li4 0.283 0.250 0.810
Pr1 0.470 0.750 0.157
Pr2 0.970 0.750 0.343
Pr3 0.030 0.250 0.657
Pr4 0.530 0.250 0.843
Te1 0.613 0.250 0.082
Te2 0.087 0.750 0.112
Te3 0.839 0.250 0.242
Te4 0.339 0.250 0.258
Te5 0.587 0.750 0.388
Te6 0.113 0.250 0.418
Te7 0.887 0.750 0.582
Te8 0.413 0.250 0.612
Te9 0.661 0.750 0.742
Te10 0.161 0.750 0.758
Te11 0.913 0.250 0.888
Te12 0.387 0.750 0.918
Zn1 0.978 0.250 0.103
Zn2 0.478 0.250 0.397
Zn3 0.522 0.750 0.603
Zn4 0.022 0.750 0.897

Entry 3:
Density functional theory data (GGA-PBE) for a relaxed structure of LiPrTh.

a = 5.105 Å, b = 5.105 Å, c = 5.105 Å
α = 60.00°, β = 60.00°, γ = 60.00°
Fractional positions:
Li1 0.250 0.250 0.250
Pr1 0.000 0.000 0.000
Th1 0.750 0.750 0.750

Entry 4:
Density functional theory data (GGA-PBE) for a relaxed structure of LiPrU.

a = 4.928 Å, b = 4.928 Å, c = 4.928 Å
α = 60.00°, β = 60.00°, γ = 60.00°
Site moments in Bohr magnetons follow the coordinates.
Fractional positions:
Li1 0.000 0.000 0.000  0.04
Pr1 0.250 0.250 0.250  0.34
U1 0.750 0.750 0.750  2.91

Entry 5:
Density functional theory data (GGA-PBE) for a relaxed structure of LiPrW.

a = 4.775 Å, b = 4.775 Å, c = 4.775 Å
α = 60.00°, β = 60.00°, γ = 60.00°
Site moments in Bohr magnetons follow the coordinates.
Fractional positions:
Li1 0.250 0.250 0.250  -0.04
Pr1 0.000 0.000 0.000  0.15
W1 0.750 0.750 0.750  1.78

Entry 6:
Density functional theory data (GGA-PBE) for a relaxed structure of LiPrW.

a = 4.521 Å, b = 4.521 Å, c = 4.521 Å
α = 60.00°, β = 60.00°, γ = 60.00°
Fractional positions:
Li1 0.000 0.000 0.000
Pr1 0.250 0.250 0.250
W1 0.750 0.750 0.750

Entry 7:
Density functional theory data (GGA-PBE) for a relaxed structure of LiPrY.

a = 5.115 Å, b = 5.115 Å, c = 5.115 Å
α = 60.00°, β = 60.00°, γ = 60.00°
Site moments in Bohr magnetons follow the coordinates.
Fractional positions:
Li1 0.000 0.000 0.000  0.03
Pr1 0.250 0.250 0.250  0.28
Y1 0.750 0.750 0.750  0.29

Entry 8:
Density functional theory data (GGA-PBE) for a relaxed structure of Li2PrZn4.

a = 5.546 Å, b = 5.546 Å, c = 5.546 Å
α = 102.02°, β = 102.02°, γ = 125.71°
Fractional positions:
Li1 0.750 0.250 0.500
Li2 0.250 0.750 0.500
Pr1 0.000 0.000 0.000
Zn1 0.691 0.309 0.000
Zn2 0.309 0.691 0.000
Zn3 0.691 0.691 0.381
Zn4 0.309 0.309 0.619

Entry 9:
Density functional theory data (GGA-PBE) for a relaxed structure of LiPrZn.

a = 4.808 Å, b = 4.808 Å, c = 4.808 Å
α = 60.00°, β = 60.00°, γ = 60.00°
Site moments in Bohr magnetons follow the coordinates.
Fractional positions:
Li1 0.250 0.250 0.250  0.01
Pr1 0.750 0.750 0.750  0.12
Zn1 0.000 0.000 0.000  0.04

Entry 10:
Density functional theory data (GGA-PBE) for a relaxed structure of LiPrZn.

a = 4.871 Å, b = 4.871 Å, c = 4.871 Å
α = 60.00°, β = 60.00°, γ = 60.00°
Fractional positions:
Li1 0.250 0.250 0.250
Pr1 0.000 0.000 0.000
Zn1 0.750 0.750 0.750

Entry 11:
Density functional theory data (GGA-PBE) for a relaxed structure of LiPt.

a = 3.405 Å, b = 3.405 Å, c = 3.405 Å
α = 60.00°, β = 60.00°, γ = 60.00°
Fractional positions:
Li1 0.000 0.000 0.000
Pt1 0.500 0.500 0.500

Entry 12:
Density functional theory data (GGA-PBE) for a relaxed structure of LiPt5.

a = 5.292 Å, b = 5.292 Å, c = 4.439 Å
α = 90.00°, β = 90.00°, γ = 120.00°
Fractional positions:
Li1 0.000 0.000 0.000
Pt1 0.667 0.333 0.000
Pt2 0.333 0.667 0.000
Pt3 0.500 0.000 0.500
Pt4 0.000 0.500 0.500
Pt5 0.500 0.500 0.500

Entry 13:
Density functional theory data (GGA-PBE) for a relaxed structure of LiPt2.

a = 5.255 Å, b = 5.255 Å, c = 5.255 Å
α = 60.00°, β = 60.00°, γ = 60.00°
Fractional positions:
Li1 0.000 0.000 0.000
Li2 0.250 0.250 0.250
Pt1 0.625 0.625 0.125
Pt2 0.625 0.125 0.625
Pt3 0.125 0.625 0.625
Pt4 0.625 0.625 0.625

Entry 14:
Density functional theory data (GGA-PBE) for a relaxed structure of LiPt.

a = 2.752 Å, b = 2.752 Å, c = 4.227 Å
α = 90.00°, β = 90.00°, γ = 120.00°
Fractional positions:
Li1 0.333 0.667 0.500
Pt1 0.000 0.000 0.000

Entry 15:
Density functional theory data (GGA-PBE) for a relaxed structure of Li2Pt.

a = 4.141 Å, b = 4.141 Å, c = 2.686 Å
α = 90.00°, β = 90.00°, γ = 120.00°
Fractional positions:
Li1 0.667 0.333 0.500
Li2 0.333 0.667 0.500
Pt1 0.000 0.000 0.000

Entry 16:
Density functional theory data (GGA-PBE) for a relaxed structure of Li2Pt.

a = 7.729 Å, b = 7.729 Å, c = 7.729 Å
α = 60.00°, β = 60.00°, γ = 60.00°
Fractional positions:
Li1 0.875 0.375 0.375
Li2 0.375 0.875 0.375
Li3 0.375 0.375 0.375
Li4 0.375 0.375 0.875
Pt1 0.250 0.250 0.250
Pt2 0.500 0.500 0.500

Entry 17:
Density functional theory data (GGA-PBE) for a relaxed structure of LiPt.

a = 2.752 Å, b = 2.752 Å, c = 12.624 Å
α = 90.00°, β = 90.00°, γ = 120.00°
Fractional positions:
Li1 0.333 0.667 0.166
Li2 0.000 0.000 0.500
Li3 0.667 0.333 0.834
Pt1 0.000 0.000 0.000
Pt2 0.667 0.333 0.333
Pt3 0.333 0.667 0.667

Entry 18:
Density functional theory data (GGA-PBE) for a relaxed structure of RbLiTePt.

a = 5.089 Å, b = 5.089 Å, c = 5.089 Å
α = 60.00°, β = 60.00°, γ = 60.00°
Fractional positions:
Li1 0.750 0.750 0.750
Pt1 0.250 0.250 0.250
Rb1 0.500 0.500 0.500
Te1 0.000 0.000 0.000

Entry 19:
Density functional theory data (GGA-PBE) for a relaxed structure of RbLiTePt.

a = 5.299 Å, b = 5.299 Å, c = 5.299 Å
α = 60.00°, β = 60.00°, γ = 60.00°
Fractional positions:
Li1 0.750 0.750 0.750
Pt1 0.500 0.500 0.500
Rb1 0.250 0.250 0.250
Te1 0.000 0.000 0.000

Entry 20:
Density functional theory data (GGA-PBE) for a relaxed structure of RbLiTePt.

a = 5.103 Å, b = 5.103 Å, c = 5.103 Å
α = 60.00°, β = 60.00°, γ = 60.00°
Fractional positions:
Li1 0.750 0.750 0.750
Pt1 0.000 0.000 0.000
Rb1 0.500 0.500 0.500
Te1 0.250 0.250 0.250

| no. | E (hartree per atom) | magnetic moment (μB per atom) | calculated density (g/cm3) |
| --- | --- | --- | --- |
| 1 | -0.14208 | 0.000 | 5.088 |
| 2 | -0.14196 | 0.000 | 5.027 |
| 3 | -0.14101 | 0.002 | 6.704 |
| 4 | -0.17979 | 1.372 | 7.571 |
| 5 | -0.18019 | 0.733 | 7.155 |
| 6 | -0.19282 | 0.021 | 8.429 |
| 7 | -0.14353 | 0.428 | 4.155 |
| 8 | -0.08200 | 0.001 | 5.610 |
| 9 | -0.09576 | 0.125 | 4.506 |
| 10 | -0.08344 | 0.003 | 4.334 |
| 11 | -0.14231 | 0.000 | 12.018 |
| 12 | -0.20147 | 0.001 | 15.150 |
| 13 | -0.18765 | 0.000 | 12.849 |
| 14 | -0.16888 | 0.001 | 12.098 |
| 15 | -0.14093 | 0.000 | 8.700 |
| 16 | -0.11100 | 0.000 | 2.126 |
| 17 | -0.16884 | 0.000 | 12.152 |
| 18 | -0.11647 | 0.000 | 7.396 |
| 19 | -0.10667 | 0.015 | 6.552 |
| 20 | -0.11487 | 0.000 | 7.334 |